# 1
This record from the Alexandria database describes a relaxed TlV2PbO8 crystal. The functional is PBE+U.

Cell: 5.8731 5.8731 6.6490 Å, 90.00 90.00 120.00°
Last column: nearest neighbours and their distance in Å.
Element x y z (fractional)
1 Tl 0.0000 0.0000 0.0000  6 O 2.27
2 V 0.3333 0.6667 0.3058  4 O 1.64-1.79
3 V 0.6667 0.3333 0.6942  4 O 1.64-1.79
4 Pb 0.0000 0.0000 0.5000  6 O 2.43
5 O 0.1635 0.3270 0.2334  1 V 1.79
6 O 0.1635 0.8365 0.2334  1 V 1.79
7 O 0.3270 0.1635 0.7666  1 V 1.79
8 O 0.3333 0.6667 0.5520  1 V 1.64
9 O 0.6667 0.3333 0.4480  1 V 1.64
10 O 0.6730 0.8365 0.2334  1 V 1.79
11 O 0.8365 0.1635 0.7666  1 V 1.79
12 O 0.8365 0.6730 0.7666  1 V 1.79

Computed properties:
As for the total energy: -76.68 eV/f.u. For the spin magnetization, the calculation gives 0.000 μB/f.u.



# 2
This record from the Alexandria database describes a relaxed TlVPbO5 crystal. The functional is PBE+U.

Cell: 6.2361 6.2361 7.3930 Å, 103.19 103.19 108.14°
Last column: nearest neighbours and their distance in Å.
Element x y z (fractional)
1 Tl 0.0000 0.0000 0.0000  2 O 2.08
2 Tl 0.0000 0.0000 0.5000  2 O 2.08
3 V 0.3216 0.6784 0.7500  4 O 1.73-1.78
4 V 0.6784 0.3216 0.2500  4 O 1.73-1.78
5 Pb 0.3229 0.6771 0.2500  1 O 2.30
6 Pb 0.6771 0.3229 0.7500  1 O 2.30
7 O 0.0949 0.9051 0.2500  2 Tl 2.08, 1 Pb 2.30
8 O 0.1053 0.6617 0.8722  1 V 1.78
9 O 0.2572 0.4085 0.5770  1 V 1.73
10 O 0.3383 0.8947 0.6278  1 V 1.78
11 O 0.4085 0.2572 0.0770  1 V 1.73
12 O 0.5915 0.7428 0.9230  1 V 1.73
13 O 0.6617 0.1053 0.3722  1 V 1.78
14 O 0.7428 0.5915 0.4230  1 V 1.73
15 O 0.8947 0.3383 0.1278  1 V 1.78
16 O 0.9051 0.0949 0.7500  2 Tl 2.08, 1 Pb 2.30

Computed properties:
As for the total energy: -49.31 eV/f.u. For the spin magnetization, the calculation gives 0.000 μB/f.u.



# 3
This record from the Alexandria database describes a relaxed Tl2VPbO4 crystal. The functional is PBE+U.

Cell: 7.7002 8.3555 5.3182 Å, 90.00 90.00 90.00°
Last column: nearest neighbours and their distance in Å.
Element x y z (fractional)
1 Tl 0.2326 0.1328 0.0000  2 O 2.64-2.85
2 Tl 0.2674 0.8672 0.5000  2 O 2.64-2.85
3 Tl 0.7326 0.8672 0.5000  2 O 2.64-2.85
4 Tl 0.7674 0.1328 0.0000  2 O 2.64-2.85
5 V 0.0000 0.3639 0.4618  4 O 1.74-1.77
6 V 0.5000 0.6361 0.9618  4 O 1.74-1.77
7 Pb 0.0000 0.6576 0.9994  4 O 2.37-2.52
8 Pb 0.5000 0.3424 0.4994  4 O 2.37-2.52
9 O 0.0000 0.3853 0.1307  1 V 1.77
10 O 0.0000 0.5575 0.5827  1 V 1.74
11 O 0.1875 0.2598 0.5504  1 V 1.75
12 O 0.3125 0.7402 0.0504  1 V 1.75
13 O 0.5000 0.4425 0.0827  1 V 1.74
14 O 0.5000 0.6147 0.6307  1 V 1.77
15 O 0.6875 0.7402 0.0504  1 V 1.75
16 O 0.8125 0.2598 0.5504  1 V 1.75

Computed properties:
As for the total energy: -45.69 eV/f.u. For the spin magnetization, the calculation gives 0.000 μB/f.u.



# 4
This record from the Alexandria database describes a relaxed TlV2PbO6 crystal. The functional is PBE+U.

Cell: 7.8973 7.8973 6.0085 Å, 100.25 100.25 85.79°
Last column: nearest neighbours and their distance in Å.
Element x y z (fractional)
1 Tl 0.1242 0.8758 0.7500  4 O 2.64-2.76
2 Tl 0.8758 0.1242 0.2500  4 O 2.64-2.76
3 V 0.1537 0.3506 0.7679  4 O 1.72-1.84
4 V 0.3506 0.1537 0.2679  4 O 1.72-1.84
5 V 0.6494 0.8463 0.7321  4 O 1.72-1.84
6 V 0.8463 0.6494 0.2321  4 O 1.72-1.84
7 Pb 0.3449 0.6551 0.2500  4 O 2.29-2.49
8 Pb 0.6551 0.3449 0.7500  4 O 2.29-2.49
9 O 0.0656 0.6859 0.3136  1 V 1.74
10 O 0.2050 0.5632 0.8441  1 V 1.72
11 O 0.2461 0.2562 0.0234  2 V 1.84
12 O 0.2562 0.2461 0.5234  2 V 1.84
13 O 0.3141 0.9344 0.1864  1 V 1.74
14 O 0.4368 0.7950 0.6559  1 V 1.72
15 O 0.5632 0.2050 0.3441  1 V 1.72
16 O 0.6859 0.0656 0.8136  1 V 1.74
17 O 0.7438 0.7539 0.4766  2 V 1.84
18 O 0.7539 0.7438 0.9766  2 V 1.84
19 O 0.7950 0.4368 0.1559  1 V 1.72
20 O 0.9344 0.3141 0.6864  1 V 1.74

Computed properties:
As for the total energy: -66.70 eV/f.u. For the spin magnetization, the calculation gives 1.000 μB/f.u.



# 5
This record from the Alexandria database describes a relaxed Tl2Pb2WO6 crystal. The functional is PBE+U.

Cell: 6.0863 6.0863 6.6141 Å, 97.79 97.79 114.88°
Last column: nearest neighbours and their distance in Å.
Element x y z (fractional)
1 Tl 0.1714 0.8286 0.0000  4 O 2.64-2.84
2 Tl 0.8286 0.1714 0.0000  4 O 2.64-2.84
3 Pb 0.3345 0.6655 0.5000  4 O 2.42-2.56
4 Pb 0.6655 0.3345 0.5000  4 O 2.42-2.56
5 W 0.0000 0.0000 0.5000  6 O 1.97-1.98
6 O 0.0421 0.3217 0.6562  1 W 1.98
7 O 0.1684 0.1684 0.2910  1 W 1.97
8 O 0.3217 0.0421 0.6562  1 W 1.98
9 O 0.6783 0.9579 0.3438  1 W 1.98
10 O 0.8316 0.8316 0.7090  1 W 1.97
11 O 0.9579 0.6783 0.3438  1 W 1.98

Computed properties:
As for the total energy: -63.51 eV/f.u. For the spin magnetization, the calculation gives 0.000 μB/f.u.



# 6
This record from the Alexandria database describes a relaxed Tl2PbWO8 crystal. The functional is PBE+U.

Cell: 5.0319 6.7787 5.0392 Å, 90.00 92.54 90.00°
Last column: nearest neighbours and their distance in Å.
Element x y z (fractional)
1 Tl 0.0000 0.2430 0.0000  6 O 2.23-2.34
2 Tl 0.0000 0.7570 0.0000  6 O 2.23-2.34
3 Pb 0.5000 0.5000 0.5000  6 O 2.09-2.32
4 W 0.5000 0.0000 0.5000  6 O 1.96
5 O 0.2012 0.5000 0.1992  1 Pb 2.09, 2 Tl 2.23
6 O 0.2188 0.0000 0.2172  1 W 1.96
7 O 0.3199 0.2164 0.6784  1 W 1.96
8 O 0.3199 0.7836 0.6784  1 W 1.96
9 O 0.6801 0.2164 0.3216  1 W 1.96
10 O 0.6801 0.7836 0.3216  1 W 1.96
11 O 0.7812 0.0000 0.7828  1 W 1.96
12 O 0.7988 0.5000 0.8008  1 Pb 2.09, 2 Tl 2.23

Computed properties:
As for the total energy: -68.42 eV/f.u. For the spin magnetization, the calculation gives 0.000 μB/f.u.



spin magnetization of number 3 (Tl2VPbO4)?
0.000 μB/f.u.